Computed, not measured: crystalline SmUPd4 at its relaxed geometry at the PBE level of DFT.

a b c (Å): 7.729 7.729 7.729
angles (deg): 90.00 90.00 90.00
Space group F-43m (No. 216)
Unique sites:
Sm (0.000, 0.000, 0.000)
U (0.250, 0.250, 0.750)
Pd (0.125, 0.125, 0.375)

Computed properties:
Formation energy: -0.4942 eV per atom
Spin magnetization: 12.2 μB/cell
Theoretical density: 11.7 g/cm³